A crystal of CuMo2RuSe relaxed with PBEsol, computed with meta-GGA SCAN.

Summary:
**Formation energy (no corrections)**: 1387 meV/atom
**Size of the total moment**: 3.5 μB/f.u.

Cell: 4.5519 4.5519 4.2205 Å, 90.00 90.00 90.00°
Sites, in units of the cell vectors:
Cu  0.0000  0.0000  0.0000
Mo  0.0000  0.5000  0.5000
Mo  0.5000  0.0000  0.5000
Ru  0.5000  0.5000  0.0000
Se  0.0000  0.0000  0.5000